The following is a DFT calculation (GGA-PBE) of a relaxed structure of TaNb4C5.

```
10
Lattice="-1.590 2.245 7.983 1.590 -2.245 7.983 1.590 2.245 -7.983" Properties=species:S:1:pos:R:3 pbc="T T T"
Ta 0.000 0.000 0.000
Nb 0.000 0.000 3.189
Nb 0.000 0.000 6.375
Nb 0.000 0.000 9.590
Nb 0.000 0.000 12.777
C 1.590 0.000 1.570
C 1.590 0.000 4.784
C 0.000 2.245 0.000
C 0.000 2.245 3.199
C 0.000 2.245 6.413
```

Space group: Immm (71)
D(E_F) (states/eV/cell): 3.276
Energy of formation from the pure elements (eV per atom): -0.50

=====

The following is a DFT calculation (GGA-PBE) of a relaxed structure of TaNbC.

```
6
Lattice="5.741 -1.539 0.000 5.741 1.539 0.000 -0.001 0.000 4.858" Properties=species:S:1:pos:R:3 pbc="T T T"
Ta 0.000 0.000 0.000
Ta 8.489 0.000 0.100
Nb 3.952 0.000 2.590
Nb 6.896 0.000 2.393
C 1.905 0.000 3.646
C 4.296 0.000 0.252
```

Space group: Cm (8)
Energy above the most stable polymorph in this dataset (meV/atom): 184.5
D(E_F) (states/eV/cell): 2.537
Energy of formation from the pure elements (eV per atom): -0.35

=====

The following is a DFT calculation (GGA-PBE) of a relaxed structure of TaNbC3.

```
5
Lattice="4.061 0.000 0.000 0.000 4.061 0.000 0.000 0.000 4.061" Properties=species:S:1:pos:R:3 pbc="T T T"
Ta 0.000 0.000 0.000
Nb 2.030 2.030 2.030
C 0.000 0.000 2.030
C 0.000 2.030 0.000
C 2.030 0.000 0.000
```

Space group: Pm-3m (221)
Energy above the most stable polymorph in this dataset (meV/atom): 0.0
D(E_F) (states/eV/cell): 5.056
Energy of formation from the pure elements (eV per atom): 1.69

=====

The following is a DFT calculation (GGA-PBE) of a relaxed structure of TaNbC2.

```
4
Lattice="0.000 2.803 2.803 2.803 0.000 2.803 2.803 2.803 0.000" Properties=species:S:1:pos:R:3 pbc="T T T"
Ta 0.000 0.000 0.000
Nb 2.803 2.803 2.803
C 1.401 1.401 1.401
C 4.204 4.204 4.204
```

Space group: Fm-3m (225)
Energy above the most stable polymorph in this dataset (meV/atom): 990.2
D(E_F) (states/eV/cell): 1.976
Energy of formation from the pure elements (eV per atom): 0.45

=====

The following is a DFT calculation (GGA-PBE) of a relaxed structure of TaNbC.

```
6
Lattice="5.544 -1.649 0.000 5.544 1.649 0.000 -3.137 0.000 5.027" Properties=species:S:1:pos:R:3 pbc="T T T"
Ta 0.775 0.000 1.311
Ta 7.176 0.000 3.715
Nb 3.752 0.000 0.985
Nb 4.199 0.000 4.042
C 2.473 0.000 2.658
C 5.478 0.000 2.369
```

Space group: C2/m (12)
Energy above the most stable polymorph in this dataset (meV/atom): 426.8
D(E_F) (states/eV/cell): 2.563
Energy of formation from the pure elements (eV per atom): -0.11

=====

The following is a DFT calculation (GGA-PBE) of a relaxed structure of TaNbC2.

```
4
Lattice="1.588 0.917 5.192 -1.588 0.917 5.192 0.000 -1.834 5.192" Properties=species:S:1:pos:R:3 pbc="T T T"
Ta 0.000 0.000 0.000
Nb 0.000 0.000 7.789
C 0.000 0.000 3.920
C 0.000 0.000 11.657
```

Space group: R-3m (166)
Energy above the most stable polymorph in this dataset (meV/atom): 0.0
D(E_F) (states/eV/cell): 1.168
Energy of formation from the pure elements (eV per atom): -0.54

=====

The following is a DFT calculation (GGA-PBE) of a relaxed structure of Ta5NbC3.

```
18
Lattice="4.860 -3.646 0.000 4.860 3.646 0.000 -3.412 0.000 7.241" Properties=species:S:1:pos:R:3 pbc="T T T"
Ta -0.570 0.000 2.635
Ta 2.110 1.492 2.411
Ta 4.860 2.154 0.000
Ta -0.734 0.000 7.016
Ta 4.197 1.492 4.830
Ta 2.110 -1.492 2.411
Ta 7.041 0.000 0.224
Ta 4.860 -2.154 0.000
Ta 4.197 -1.492 4.830
Ta 6.877 0.000 4.605
Nb 1.523 0.000 5.040
Nb 4.785 0.000 2.200
C -0.669 0.000 4.826
C 1.054 0.000 1.208
C 4.860 0.000 0.000
C 3.154 0.000 3.620
C 5.253 0.000 6.033
C 6.976 0.000 2.415
```

Space group: C2/m (12)
D(E_F) (states/eV/cell): 7.214
Energy of formation from the pure elements (eV per atom): -0.46

=====

The following is a DFT calculation (GGA-PBE) of a relaxed structure of TaNb3C.

```
5
Lattice="4.874 0.000 0.000 0.000 4.874 0.000 0.000 0.000 4.874" Properties=species:S:1:pos:R:3 pbc="T T T"
Ta 0.000 0.000 0.000
Nb 0.000 0.000 2.437
Nb 0.000 2.437 0.000
Nb 2.437 0.000 0.000
C 2.437 2.437 2.437
```

Space group: Pm-3m (221)
Energy above the most stable polymorph in this dataset (meV/atom): 2812.6
D(E_F) (states/eV/cell): 9.607
Energy of formation from the pure elements (eV per atom): 2.74

=====

The following is a DFT calculation (GGA-PBE) of a relaxed structure of TaNbC.

```
6
Lattice="5.740 -1.549 0.000 5.740 1.549 0.000 -2.595 0.000 4.829" Properties=species:S:1:pos:R:3 pbc="T T T"
Ta 0.000 0.000 0.000
Ta 8.428 0.000 0.247
Nb 1.465 0.000 2.697
Nb 4.501 0.000 2.304
C 4.152 0.000 0.070
C 6.545 0.000 1.359
```

Space group: Cm (8)
Energy above the most stable polymorph in this dataset (meV/atom): 149.2
D(E_F) (states/eV/cell): 2.339
Energy of formation from the pure elements (eV per atom): -0.39

=====

The following is a DFT calculation (GGA-PBE) of a relaxed structure of Ta5NbC6.

```
12
Lattice="2.740 -4.766 0.000 2.740 4.766 0.000 -1.836 0.000 5.183" Properties=species:S:1:pos:R:3 pbc="T T T"
Ta 0.000 0.000 0.000
Ta 1.823 3.183 2.591
Ta 2.740 1.576 0.000
Ta 2.740 -1.576 0.000
Ta 1.823 -3.183 2.591
Nb 1.823 0.000 2.591
C 0.903 1.606 1.287
C -0.025 0.000 3.897
C 0.903 -1.606 1.287
C 2.743 1.606 3.896
C 3.670 0.000 1.286
C 2.743 -1.606 3.896
```

Space group: C2/m (12)
D(E_F) (states/eV/cell): 2.665
Energy of formation from the pure elements (eV per atom): -0.57